Record 1
SrZn2Re, PBEsol geometry, DFT meta-GGA SCAN; electronic total energy = -119.19 eV per cell; SG = Pmmm, No. 47; formation energy from the elements = 303 meV/atom; relative energy among the computed polymorphs = 0 meV/atom
1.0
2.845 0.000 0.000
0.000 3.860 0.000
0.000 0.000 6.611
Sr Zn Re
1 2 1
Direct
0.000 0.000 0.000
0.500 0.500 0.313
0.500 0.500 0.687
0.000 0.000 0.500


Record 2
SrZnRe, PBEsol geometry, DFT meta-GGA SCAN; electronic total energy = -412.93 eV per cell; SG = F-43m, No. 216; formation energy from the elements = 1218 meV/atom
1.0
6.519 0.000 0.000
0.000 6.519 0.000
0.000 0.000 6.519
Sr Zn Re
4 4 4
Direct
0.000 0.000 0.000
0.000 0.500 0.500
0.500 0.000 0.500
0.500 0.500 0.000
0.250 0.250 0.750
0.250 0.750 0.250
0.750 0.250 0.250
0.750 0.750 0.750
0.000 0.000 0.500
0.000 0.500 0.000
0.500 0.000 0.000
0.500 0.500 0.500


Record 3
SrZn2Re, PBEsol geometry, DFT meta-GGA SCAN; electronic total energy = -236.11 eV per cell; SG = Imm2, No. 44; formation energy from the elements = 587 meV/atom; relative energy among the computed polymorphs = 284 meV/atom
1.0
2.801 0.000 0.000
0.000 5.083 0.000
0.000 0.000 10.067
Sr Zn Re
2 4 2
Direct
0.000 0.000 0.000
0.500 0.500 0.500
0.000 0.000 0.502
0.000 0.500 0.779
0.500 0.000 0.279
0.500 0.500 0.002
0.000 0.500 0.219
0.500 0.000 0.719


Record 4
SrZn2Re, PBEsol geometry, DFT meta-GGA SCAN; electronic total energy = -465.78 eV per cell; SG = F-43m, No. 216; formation energy from the elements = 990 meV/atom; relative energy among the computed polymorphs = 687 meV/atom
1.0
6.678 0.000 0.000
0.000 6.678 0.000
0.000 0.000 6.678
Sr Zn Re
4 8 4
Direct
0.000 0.000 0.000
0.000 0.500 0.500
0.500 0.000 0.500
0.500 0.500 0.000
0.000 0.000 0.500
0.000 0.500 0.000
0.250 0.250 0.250
0.250 0.750 0.750
0.500 0.000 0.000
0.500 0.500 0.500
0.750 0.250 0.750
0.750 0.750 0.250
0.250 0.250 0.750
0.250 0.750 0.250
0.750 0.250 0.250
0.750 0.750 0.750